Entry from Alexandria: SrCo2Rh after structural relaxation (PBE).

CIF file:
```
data_SrCo2Rh
_cell_length_a 4.0300
_cell_length_b 4.0502
_cell_length_c 4.1675
_cell_angle_alpha 90.00
_cell_angle_beta 90.00
_cell_angle_gamma 90.00
_symmetry_space_group_name_H-M 'P 1'
_symmetry_Int_Tables_number 1
_symmetry_space_group_name_Hall 'P 1'
loop_
_atom_site_label
_atom_site_type_symbol
_atom_site_fract_x
_atom_site_fract_y
_atom_site_fract_z
Sr1 Sr 0.0000 0.0000 0.0000
Co1 Co 0.0000 0.5000 0.5000
Co2 Co 0.5000 0.0000 0.5000
Rh1 Rh 0.5000 0.5000 0.0000
```

Results
V: 17.0 Å³/atom
energy relative to the elements: 2.52 eV per formula unit
space group: Pmmm, No. 47
total magnetization: 3.72 μB per formula unit
DOS(E_F): 1.997 states/eV per atom